HfBiPIr2 | PBE | optimized geometry

Geometry as POSCAR:
```
HfBiPIr2
1.0
4.825 0.000 0.000
0.000 4.825 0.000
0.000 0.000 5.581
Hf Bi P Ir
1 1 1 2
Cartesian
0.000 0.000 0.000 Hf
0.000 0.000 2.791 Bi
2.413 2.413 2.791 P
0.000 2.413 0.000 Ir
2.413 0.000 0.000 Ir
```

## Properties
Crystal system = tetragonal
Space-group type = No. 123
E_tot = -29.6 eV per cell
Theoretical density = 10.26 g cm⁻³

=====

Cs2NpTiS5 | PBE | optimized geometry

Geometry as POSCAR:
```
Cs2NpTiS5
1.0
2.066 -9.892 0.000
2.066 9.892 0.000
0.000 0.000 14.816
Cs Np Ti S
4 2 2 10
Cartesian
2.066 7.441 7.408 Cs
2.066 7.260 2.160 Cs
2.066 -7.260 9.568 Cs
2.066 -7.441 0.000 Cs
2.066 5.979 12.530 Np
2.066 -5.979 5.122 Np
2.066 1.313 3.734 Ti
2.066 -1.313 11.142 Ti
2.066 8.836 12.311 S
2.066 3.859 6.789 S
2.066 3.564 3.244 S
2.066 3.532 12.221 S
2.066 0.226 1.868 S
2.066 -0.226 9.277 S
2.066 -3.532 4.813 S
2.066 -3.564 10.652 S
2.066 -3.859 14.197 S
2.066 -8.836 4.903 S
```

## Properties
Crystal system = orthorhombic
Space-group type = No. 36
Raw formation energy = -1.28 eV per atom
E_tot = -109.5 eV per cell
Theoretical density = 3.90 g cm⁻³

=====

Y6Te3As2Pt | PBE | optimized geometry

Geometry as POSCAR:
```
Y6Te3As2Pt
1.0
9.353 -2.094 0.000
9.353 2.094 0.000
-2.134 0.000 8.358
Y Te As Pt
6 3 2 1
Cartesian
-0.370 0.000 1.878 Y
5.187 0.000 3.627 Y
4.445 0.000 7.526 Y
12.128 0.000 0.832 Y
11.385 0.000 4.731 Y
16.942 0.000 6.480 Y
1.385 0.000 6.950 Te
8.286 0.000 4.179 Te
15.187 0.000 1.408 Te
2.414 0.000 2.805 As
14.158 0.000 5.553 As
9.353 0.000 0.000 Pt
```

## Properties
Crystal system = monoclinic
Space-group type = No. 12
Raw formation energy = -1.42 eV per atom
E_tot = -80.6 eV per cell
Theoretical density = 6.40 g cm⁻³

=====

PdBr2F | PBE | optimized geometry

Geometry as POSCAR:
```
PdBr2F
1.0
0.000 3.257 3.257
3.257 0.000 3.257
3.257 3.257 0.000
Pd Br F
1 2 1
Cartesian
0.000 0.000 0.000 Pd
1.628 1.628 1.628 Br
4.885 4.885 4.885 Br
3.257 3.257 3.257 F
```

## Properties
Crystal system = cubic
Space-group type = No. 225
Energy above the most stable polymorph in this dataset = 593 meV per atom
Raw formation energy = -0.01 eV per atom
E_tot = -10.5 eV per cell
Theoretical density = 6.86 g cm⁻³

=====

YAsPtSe2 | PBE | optimized geometry

Geometry as POSCAR:
```
YAsPtSe2
1.0
5.086 0.000 0.000
0.000 5.086 0.000
0.000 0.000 4.742
Y As Pt Se
1 1 1 2
Cartesian
0.000 0.000 0.000 Y
2.543 2.543 0.000 As
2.543 2.543 2.371 Pt
0.000 2.543 2.371 Se
2.543 0.000 2.371 Se
```

## Properties
Crystal system = tetragonal
Space-group type = No. 123
Energy above the most stable polymorph in this dataset = 0 meV per atom
Raw formation energy = -0.30 eV per atom
E_tot = -25.6 eV per cell
Theoretical density = 7.00 g cm⁻³

=====

Ag2HgGe | PBE | optimized geometry

Geometry as POSCAR:
```
Ag2HgGe
1.0
-3.871 3.871 2.858
3.871 -3.871 2.858
3.871 3.871 -2.858
Ag Hg Ge
4 2 2
Cartesian
5.806 1.738 -0.714 Ag
1.738 1.935 0.714 Ag
-1.935 2.133 2.143 Ag
2.133 1.935 3.572 Ag
3.871 0.000 1.429 Hg
0.000 0.000 2.858 Hg
0.000 0.000 0.000 Ge
0.000 3.871 1.429 Ge
```

## Properties
Crystal system = tetragonal
Space-group type = No. 122
Energy above the most stable polymorph in this dataset = 156 meV per atom
E_tot = -18.9 eV per cell
Theoretical density = 9.48 g cm⁻³

=====

In2AgMo | PBE | optimized geometry

Geometry as POSCAR:
```
In2AgMo
1.0
-3.752 3.752 3.007
3.752 -3.752 3.007
3.752 3.752 -3.007
In Ag Mo
4 2 2
Cartesian
5.628 1.818 -0.752 In
1.818 1.876 0.752 In
-1.876 1.934 2.255 In
1.934 1.876 3.758 In
0.000 0.000 0.000 Ag
0.000 3.752 1.503 Ag
3.752 0.000 1.503 Mo
0.000 0.000 3.007 Mo
```

## Properties
Crystal system = tetragonal
Space-group type = No. 122
Energy above the most stable polymorph in this dataset = 389 meV per atom
E_tot = -33.2 eV per cell
Theoretical density = 8.50 g cm⁻³

=====

LiPa2Ni3Ge4 | PBE | optimized geometry

Geometry as POSCAR:
```
LiPa2Ni3Ge4
1.0
4.126 0.000 0.000
0.000 4.126 0.000
0.000 0.000 9.568
Li Pa Ni Ge
1 2 3 4
Cartesian
0.000 0.000 0.000 Li
0.000 2.063 7.192 Pa
2.063 0.000 2.376 Pa
0.000 2.063 3.607 Ni
2.063 0.000 5.961 Ni
2.063 2.063 0.000 Ni
0.000 0.000 4.784 Ge
0.000 2.063 1.280 Ge
2.063 0.000 8.288 Ge
2.063 2.063 4.784 Ge
```

## Properties
Crystal system = tetragonal
Space-group type = No. 115
E_tot = -62.2 eV per cell
Theoretical density = 9.54 g cm⁻³

=====

TmUNiRu | PBE | optimized geometry

Geometry as POSCAR:
```
TmUNiRu
1.0
0.000 3.352 3.352
3.352 0.000 3.352
3.352 3.352 0.000
Tm U Ni Ru
1 1 1 1
Cartesian
0.000 0.000 0.000 Tm
3.352 3.352 3.352 U
5.028 5.028 5.028 Ni
1.676 1.676 1.676 Ru
```

## Properties
Crystal system = cubic
Space-group type = No. 216
E_tot = -31.6 eV per cell
Theoretical density = 12.49 g cm⁻³

=====

Li2MnCl | PBE | optimized geometry

Geometry as POSCAR:
```
Li2MnCl
1.0
-1.519 1.575 7.874
1.519 -1.575 7.874
1.519 1.575 -7.874
Li Mn Cl
2 1 1
Cartesian
0.000 0.000 0.000 Li
0.000 1.575 3.076 Li
1.519 0.000 5.198 Mn
0.000 0.000 9.035 Cl
```

## Properties
Crystal system = orthorhombic
Space-group type = No. 44
Energy above the most stable polymorph in this dataset = 91 meV per atom
Raw formation energy = -0.35 eV per atom
E_tot = -16.3 eV per cell
Theoretical density = 2.30 g cm⁻³

=====

BeSe2I | PBE | optimized geometry

Geometry as POSCAR:
```
BeSe2I
1.0
2.831 1.635 4.099
-2.831 1.635 4.099
0.000 -3.269 4.099
Be Se I
1 2 1
Cartesian
0.000 0.000 0.000 Be
0.000 0.000 2.048 Se
0.000 0.000 10.249 Se
0.000 0.000 6.148 I
```

## Properties
Crystal system = trigonal
Space-group type = No. 166
Energy above the most stable polymorph in this dataset = 283 meV per atom
Raw formation energy = 0.23 eV per atom
E_tot = -11.3 eV per cell
Theoretical density = 4.29 g cm⁻³

=====

SbAs2Se | PBE | optimized geometry

Geometry as POSCAR:
```
SbAs2Se
1.0
6.684 -1.863 0.000
6.684 1.863 0.000
-0.079 0.000 4.395
Sb As Se
1 2 1
Cartesian
0.000 0.000 0.000 Sb
2.745 0.000 0.887 As
7.222 0.000 1.835 As
10.305 0.000 3.832 Se
```

## Properties
Crystal system = monoclinic
Space-group type = No. 8
Energy above the most stable polymorph in this dataset = 116 meV per atom
Raw formation energy = 0.13 eV per atom
E_tot = -16.4 eV per cell
Theoretical density = 5.32 g cm⁻³

=====

VNiH3 | PBE | optimized geometry

Geometry as POSCAR:
```
VNiH3
1.0
3.292 0.000 0.000
0.000 3.292 0.000
0.000 0.000 3.292
V Ni H
1 1 3
Cartesian
0.000 0.000 0.000 V
1.646 1.646 1.646 Ni
0.000 0.000 1.646 H
0.000 1.646 0.000 H
1.646 0.000 0.000 H
```

## Properties
Crystal system = cubic
Space-group type = No. 221
E_tot = -23.5 eV per cell
Theoretical density = 5.24 g cm⁻³

=====

Pm2NdSm3 | PBE | optimized geometry

Geometry as POSCAR:
```
Pm2NdSm3
1.0
4.566 -4.996 0.000
4.566 4.996 0.000
-1.822 0.000 8.946
Pm Nd Sm
4 2 6
Cartesian
1.834 2.508 7.825 Pm
4.565 2.508 5.594 Pm
2.746 -2.508 3.352 Pm
5.476 -2.508 1.121 Pm
4.111 0.843 2.236 Nd
3.200 -0.843 6.709 Nd
4.111 4.174 2.236 Sm
1.379 0.835 4.478 Sm
2.290 -0.835 0.005 Sm
5.020 0.835 8.941 Sm
5.931 -0.835 4.468 Sm
3.200 -4.174 6.709 Sm
```

## Properties
Crystal system = monoclinic
Space-group type = No. 15
Energy above the most stable polymorph in this dataset = 0 meV per atom
E_tot = -56.2 eV per cell
Theoretical density = 7.20 g cm⁻³

=====

Rb3Sc2CrSe6 | PBE | optimized geometry

Geometry as POSCAR:
```
Rb3Sc2CrSe6
1.0
3.450 -5.979 0.000
3.450 5.979 0.000
-2.306 0.000 7.889
Rb Sc Cr Se
3 2 1 6
Cartesian
0.000 0.000 0.000 Rb
3.450 2.033 0.000 Rb
3.450 -2.033 0.000 Rb
2.297 3.990 3.945 Sc
2.297 -3.990 3.945 Sc
2.297 0.000 3.945 Cr
1.194 1.913 2.515 Se
0.089 0.000 5.386 Se
1.194 -1.913 2.515 Se
3.399 1.913 5.374 Se
4.504 0.000 2.504 Se
3.399 -1.913 5.374 Se
```

## Properties
Crystal system = monoclinic
Space-group type = No. 12
Raw formation energy = -1.30 eV per atom
E_tot = -61.7 eV per cell
Theoretical density = 4.45 g cm⁻³

=====

KGa | PBE | optimized geometry

Geometry as POSCAR:
```
KGa
1.0
-5.021 5.021 5.021
5.021 -5.021 5.021
5.021 5.021 -5.021
K Ga
4 4
Cartesian
2.906 2.906 -2.906 K
2.906 -2.906 2.906 K
2.115 2.115 2.115 K
-2.906 2.906 2.906 K
0.971 0.971 -0.971 Ga
0.971 -0.971 0.971 Ga
-0.971 0.971 0.971 Ga
4.050 4.050 4.050 Ga
```

## Properties
Crystal system = cubic
Space-group type = No. 217
Energy above the most stable polymorph in this dataset = 329 meV per atom
E_tot = -14.7 eV per cell
Theoretical density = 1.43 g cm⁻³

=====

YBiAsBr2 | PBE | optimized geometry

Geometry as POSCAR:
```
YBiAsBr2
1.0
5.546 0.000 0.000
0.000 5.546 0.000
0.000 0.000 5.728
Y Bi As Br
1 1 1 2
Cartesian
0.000 0.000 0.000 Y
2.773 2.773 2.864 Bi
2.773 2.773 0.000 As
0.000 2.773 2.864 Br
2.773 0.000 2.864 Br
```

## Properties
Crystal system = tetragonal
Space-group type = No. 123
Energy above the most stable polymorph in this dataset = 590 meV per atom
Raw formation energy = 0.08 eV per atom
E_tot = -17.9 eV per cell
Theoretical density = 5.02 g cm⁻³

=====

Ca3SiNi2 | PBE | optimized geometry

Geometry as POSCAR:
```
Ca3SiNi2
1.0
7.682 -1.924 0.000
7.682 1.924 0.000
-1.300 0.000 4.512
Ca Si Ni
3 1 2
Cartesian
0.000 0.000 0.000 Ca
3.808 0.000 3.644 Ca
10.256 0.000 0.868 Ca
7.032 0.000 2.256 Si
0.733 0.000 2.672 Ni
13.332 0.000 1.840 Ni
```

## Properties
Crystal system = monoclinic
Space-group type = No. 12
Raw formation energy = -0.18 eV per atom
E_tot = -24.1 eV per cell
Theoretical density = 3.31 g cm⁻³

=====

MnB3Ir | PBE | optimized geometry

Geometry as POSCAR:
```
MnB3Ir
1.0
4.083 0.000 0.000
0.000 4.083 0.000
0.000 0.000 4.083
Mn B Ir
1 3 1
Cartesian
0.000 0.000 0.000 Mn
0.000 2.041 2.041 B
2.041 0.000 2.041 B
2.041 2.041 0.000 B
2.041 2.041 2.041 Ir
```

## Properties
Crystal system = cubic
Space-group type = No. 221
Energy above the most stable polymorph in this dataset = 0 meV per atom
E_tot = -32.8 eV per cell
Theoretical density = 6.82 g cm⁻³

=====

Ce2DyAg2Pb2 | PBE | optimized geometry

Geometry as POSCAR:
```
Ce2DyAg2Pb2
1.0
2.414 1.394 8.961
-2.414 1.394 8.961
0.000 -2.787 8.961
Ce Dy Ag Pb
2 1 2 2
Cartesian
0.000 0.000 3.872 Ce
0.000 0.000 23.012 Ce
0.000 0.000 0.000 Dy
0.000 0.000 11.570 Ag
0.000 0.000 15.314 Ag
0.000 0.000 7.305 Pb
0.000 0.000 19.580 Pb
```

## Properties
Crystal system = trigonal
Space-group type = No. 166
E_tot = -31.0 eV per cell
Theoretical density = 9.85 g cm⁻³